Ta2CdRe | PBE | optimized geometry Values from VASP.

```
&SYSTEM
  ibrav = 0, nat = 4, ntyp = 3
/
ATOMIC_SPECIES
Re 186.21 Re.upf
Cd 112.41 Cd.upf
Ta 180.95 Ta.upf
ATOMIC_POSITIONS angstrom
Re 1.6360 1.6360 5.2382
Cd 0.0000 0.0000 3.4457
Ta 0.0000 0.0000 6.6263
Ta 1.6360 1.6360 1.5485
CELL_PARAMETERS angstrom
3.2720 0.0000 0.0000
0.0000 3.2720 0.0000
0.0000 0.0000 6.7435
```

Summary:
- Space group: P4mm, No. 99

***

Ta2CdRe | PBE | optimized geometry Values from VASP.

```
&SYSTEM
  ibrav = 0, nat = 4, ntyp = 3
/
ATOMIC_SPECIES
Ta 180.95 Ta.upf
Cd 112.41 Cd.upf
Re 186.21 Re.upf
ATOMIC_POSITIONS angstrom
Ta -0.2366 -2.6645 -1.2923
Ta 0.0000 0.0000 0.0000
Cd -1.8774 -3.8603 0.8764
Re 0.7330 -2.5313 1.3716
CELL_PARAMETERS angstrom
-0.9079 -3.7270 3.5404
-2.8470 -3.9936 -1.7875
4.2513 2.5248 -1.6736
```

Summary:
- Space group: I-4m2, No. 119

***

TaCd2Re | PBE | optimized geometry Values from VASP.

```
&SYSTEM
  ibrav = 0, nat = 4, ntyp = 3
/
ATOMIC_SPECIES
Re 186.21 Re.upf
Ta 180.95 Ta.upf
Cd 112.41 Cd.upf
ATOMIC_POSITIONS angstrom
Re 1.9578 0.0000 2.3647
Ta 0.0000 1.9578 2.3647
Cd 1.9578 1.9578 0.0000
Cd 0.0000 0.0000 0.0000
CELL_PARAMETERS angstrom
3.9156 0.0000 0.0000
0.0000 3.9156 0.0000
0.0000 0.0000 4.7294
```

Summary:
- Space group: P4/mmm, No. 123

***

TaCd2Re | PBE | optimized geometry Values from VASP.

```
&SYSTEM
  ibrav = 0, nat = 4, ntyp = 3
/
ATOMIC_SPECIES
Cd 112.41 Cd.upf
Ta 180.95 Ta.upf
Re 186.21 Re.upf
ATOMIC_POSITIONS angstrom
Cd -0.0190 -0.0726 -0.0465
Cd -1.6281 -6.2140 -3.9823
Ta -5.0220 -19.1676 -12.2838
Re -3.3056 -12.6167 -8.0856
CELL_PARAMETERS angstrom
-3.8445 -8.1879 -5.1811
-1.4498 -7.8086 -6.7521
-1.3554 -9.3841 -4.3323
```

Summary:
- Space group: R3m, No. 160

***

TaCdRe2 | PBE | optimized geometry Values from VASP.

```
&SYSTEM
  ibrav = 0, nat = 4, ntyp = 3
/
ATOMIC_SPECIES
Cd 112.41 Cd.upf
Re 186.21 Re.upf
Ta 180.95 Ta.upf
ATOMIC_POSITIONS angstrom
Cd -10.8083 -18.7334 -3.1599
Re -14.3739 -24.9134 -4.2023
Re -3.6932 -6.4011 -1.0797
Ta -7.3081 -12.6666 -2.1366
CELL_PARAMETERS angstrom
-5.8914 -7.9438 -0.2395
-5.1077 -7.9360 -2.9669
-3.4742 -9.2060 -1.0249
```

Summary:
- Space group: R3m, No. 160

***

TaCd2Re | PBE | optimized geometry Values from VASP.

```
&SYSTEM
  ibrav = 0, nat = 4, ntyp = 3
/
ATOMIC_SPECIES
Cd 112.41 Cd.upf
Re 186.21 Re.upf
Ta 180.95 Ta.upf
ATOMIC_POSITIONS angstrom
Cd 0.0000 0.0000 0.0649
Cd 0.0000 0.0000 4.8565
Re 0.9668 1.3186 2.4607
Ta 0.9668 1.3186 7.3821
CELL_PARAMETERS angstrom
2.7893 -0.0177 0.0000
-0.8556 2.6549 0.0000
0.0000 0.0000 9.8428
```

Summary:
- Space group: Cmmm, No. 65

***

TaCd2Re | PBE | optimized geometry Values from VASP.

```
&SYSTEM
  ibrav = 0, nat = 4, ntyp = 3
/
ATOMIC_SPECIES
Cd 112.41 Cd.upf
Ta 180.95 Ta.upf
Re 186.21 Re.upf
ATOMIC_POSITIONS angstrom
Cd -0.3117 0.7134 2.6533
Cd -0.0021 0.0047 0.0175
Ta 1.1729 -0.9582 4.7466
Re 1.4867 -1.6763 2.0758
CELL_PARAMETERS angstrom
-1.0238 -2.5298 0.5599
4.3110 -1.5409 0.9208
-0.6276 1.4363 5.3417
```

Summary:
- Space group: Pmmm, No. 47

***

TaCd2Re | PBE | optimized geometry Values from VASP.

```
&SYSTEM
  ibrav = 0, nat = 4, ntyp = 3
/
ATOMIC_SPECIES
Re 186.21 Re.upf
Cd 112.41 Cd.upf
Ta 180.95 Ta.upf
ATOMIC_POSITIONS angstrom
Re 1.3969 1.3969 2.3289
Cd 0.0000 0.0000 4.5975
Cd 0.0000 0.0000 0.0603
Ta 1.3969 1.3969 6.9866
CELL_PARAMETERS angstrom
2.7938 0.0000 0.0000
0.0000 2.7938 0.0000
0.0000 0.0000 9.3155
```

Summary:
- Space group: P4/mmm, No. 123

***

ΔE_f for the records above, in order: 0.215, 0.320, 0.435, 0.331, 0.228, 0.526, 0.485, 0.591 eV per atom